Record 1
DFT (GGA-PBE) results for a relaxed CoBr crystal.

POSCAR file:
```
CoBr
1.0
6.8740 0.0000 0.0000
0.0000 6.8740 0.0000
0.0000 0.0000 6.8740
Co Br
6 6
Cartesian
0.0000 1.7185 3.4370 Co
0.0000 5.1555 3.4370 Co
1.7185 3.4370 0.0000 Co
3.4370 0.0000 1.7185 Co
3.4370 0.0000 5.1555 Co
5.1555 3.4370 0.0000 Co
0.0000 3.4370 1.7185 Br
0.0000 3.4370 5.1555 Br
1.7185 0.0000 3.4370 Br
3.4370 1.7185 0.0000 Br
3.4370 5.1555 0.0000 Br
5.1555 0.0000 3.4370 Br
```

E above lowest polymorph = 529.0 meV/atom
symmetry = Pm-3n (223)
formation energy (no corrections) = 0.8 eV/f.u.

Record 2
DFT (GGA-PBE) results for a relaxed BaCa2Be crystal.

POSCAR file:
```
BaCa2Be
1.0
3.8501 0.0000 0.0000
0.0000 3.8354 0.0000
-0.0231 0.0000 9.6768
Ba Ca Be
1 2 1
Cartesian
0.0000 0.0000 0.0000 Ba
-0.0055 0.0000 3.5435 Ca
1.9117 1.9177 6.3238 Ca
1.9223 1.9177 2.1078 Be
```

symmetry = Pm (6)
E_form = 0.26 eV per atom

Record 3
DFT (GGA-PBE) results for a relaxed HoReOs crystal.

POSCAR file:
```
HoReOs
1.0
10.1419 0.0000 0.0000
0.0000 4.3620 0.0000
-4.7771 0.0000 5.2739
Ho Re Os
4 4 4
Cartesian
-0.8442 0.0000 1.6742 Ho
1.1381 2.1810 3.5996 Ho
4.2268 2.1810 1.6742 Ho
6.2090 0.0000 3.5996 Ho
1.2721 2.1810 0.3758 Re
-0.9782 0.0000 4.8981 Re
6.3431 0.0000 0.3758 Re
4.0927 2.1810 4.8981 Re
-1.7902 2.1810 3.8561 Os
2.0841 0.0000 1.4178 Os
3.2808 0.0000 3.8561 Os
7.1550 2.1810 1.4178 Os
```

E above lowest polymorph = 125.1 meV/atom
symmetry = C2/m (12)
E_form = -0.16 eV per atom

Record 4
DFT (GGA-PBE) results for a relaxed Pu4ScTe5 crystal.

POSCAR file:
```
Pu4ScTe5
1.0
-2.1923 2.1923 15.4743
2.1923 -2.1923 15.4743
2.1923 2.1923 -15.4743
Pu Sc Te
4 1 5
Cartesian
0.0000 0.0000 3.0556 Pu
0.0000 0.0000 9.3299 Pu
0.0000 0.0000 21.6187 Pu
0.0000 0.0000 27.8930 Pu
0.0000 0.0000 15.4743 Sc
0.0000 0.0000 0.0000 Te
0.0000 0.0000 6.2031 Te
0.0000 0.0000 12.5121 Te
0.0000 0.0000 18.4365 Te
0.0000 0.0000 24.7455 Te
```

symmetry = I4/mmm (139)
formation energy (no corrections) = -10.7 eV/f.u.

What did the second record say?
DFT (GGA-PBE) results for a relaxed BaCa2Be crystal.

POSCAR file:
```
BaCa2Be
1.0
3.8501 0.0000 0.0000
0.0000 3.8354 0.0000
-0.0231 0.0000 9.6768
Ba Ca Be
1 2 1
Cartesian
0.0000 0.0000 0.0000 Ba
-0.0055 0.0000 3.5435 Ca
1.9117 1.9177 6.3238 Ca
1.9223 1.9177 2.1078 Be
```

symmetry = Pm (6)
E_form = 0.26 eV per atom